[1]
An optimized crystal structure of CaNpNi4. Source: Alexandria via LeMat-Bulk, functional PBE.

The structure in POSCAR format:
```
CaNpNi4
1.0
-3.648 -2.963 1.707
3.720 -1.932 -2.726
4.412 -1.395 7.010
Ni Np Ca
8 2 2
direct
0.671 0.836 0.756 Ni
0.836 0.164 0.244 Ni
0.000 0.000 0.000 Ni
0.329 0.164 0.244 Ni
0.000 0.000 0.500 Ni
0.836 0.671 0.244 Ni
0.164 0.836 0.756 Ni
0.164 0.329 0.756 Ni
0.333 0.667 0.049 Np
0.667 0.333 0.951 Np
0.333 0.667 0.436 Ca
0.667 0.333 0.564 Ca
```

Results
SG ... No. 164
Magnetization ... 0.60 μB per atom
Volume ... 15.157 Å³ per atom
Offset from the most stable computed form ... 0 meV/atom
E ... -77.77 eV for the cell shown

---

[2]
An optimized crystal structure of ZrCrIn. Source: Alexandria via LeMat-Bulk, functional PBE.

The structure in POSCAR format:
```
ZrCrIn
1.0
-0.999 1.373 -4.275
-4.030 -1.142 -1.900
-3.212 3.219 -0.690
Zr In Cr
1 1 1
direct
0.500 0.500 0.500 Zr
0.000 0.000 0.000 In
0.250 0.250 0.250 Cr
```

Results
SG ... No. 216
Magnetization ... 1.67 μB per atom
Volume ... 22.937 Å³ per atom
Offset from the most stable computed form ... 336 meV/atom
E ... -19.67 eV for the cell shown

---

[3]
An optimized crystal structure of YHo4AgS8. Source: Alexandria via LeMat-Bulk, functional PBE.

The structure in POSCAR format:
```
YHo4AgS8
1.0
-4.742 6.019 2.280
-5.280 3.098 -5.142
-7.835 -1.268 1.066
S Ho Y Ag
8 4 1 1
direct
0.242 0.242 0.274 S
0.773 0.243 0.741 S
0.243 0.773 0.741 S
0.758 0.758 0.725 S
0.243 0.243 0.741 S
0.225 0.758 0.260 S
0.758 0.758 0.260 S
0.758 0.225 0.260 S
0.487 0.004 0.504 Ho
0.004 0.487 0.504 Ho
0.004 0.004 0.504 Ho
0.625 0.625 0.124 Ho
0.004 0.004 0.987 Y
0.375 0.375 0.876 Ag
```

Results
SG ... No. 160
Magnetization ... 0.00 μB per atom
Volume ... 25.872 Å³ per atom
ΔE_f (raw) ... -1.833 eV/atom
E ... -86.30 eV for the cell shown

---

[4]
An optimized crystal structure of CaDy2USb4. Source: Alexandria via LeMat-Bulk, functional PBE.

The structure in POSCAR format:
```
CaDy2USb4
1.0
-2.202 3.782 0.535
-6.122 -3.088 -3.362
-0.377 -1.284 7.524
Sb Ca Dy U
4 1 2 1
direct
0.500 0.246 0.251 Sb
0.000 0.758 0.252 Sb
0.000 0.242 0.748 Sb
0.500 0.754 0.749 Sb
0.500 0.500 0.000 Ca
0.500 0.000 0.500 Dy
0.000 0.500 0.500 Dy
0.000 0.000 0.000 U
```

Results
SG ... No. 10
Magnetization ... 0.25 μB per atom
Volume ... 30.404 Å³ per atom
ΔE_f (raw) ... -0.831 eV/atom
E ... -45.64 eV for the cell shown

---

[5]
An optimized crystal structure of Tb3ErPu2Te6. Source: Alexandria via LeMat-Bulk, functional PBE.

The structure in POSCAR format:
```
Tb3ErPu2Te6
1.0
4.362 0.000 0.000
0.000 8.794 0.287
-2.181 -2.561 9.214
Te Er Pu Tb
6 1 2 3
direct
0.666 0.585 0.332 Te
0.664 0.080 0.329 Te
0.998 0.246 0.995 Te
0.002 0.754 0.005 Te
0.334 0.415 0.668 Te
0.336 0.920 0.671 Te
0.500 0.000 0.000 Er
0.834 0.667 0.668 Pu
0.166 0.333 0.332 Pu
0.500 0.500 0.000 Tb
0.831 0.166 0.662 Tb
0.169 0.834 0.338 Tb
```

Results
SG ... No. 12
Magnetization ... 1.00 μB per atom
Volume ... 29.723 Å³ per atom
ΔE_f (raw) ... -1.244 eV/atom
E ... -80.89 eV for the cell shown

---

[6]
An optimized crystal structure of AgB6N6. Source: Alexandria via LeMat-Bulk, functional PBE.

The structure in POSCAR format:
```
AgB6N6
1.0
-2.135 -1.313 3.856
1.035 -4.386 -0.920
3.940 0.440 2.331
B N Ag
6 6 1
direct
0.000 0.500 0.253 B
0.500 0.253 0.000 B
0.747 0.000 0.500 B
0.500 0.747 0.000 B
0.000 0.500 0.747 B
0.253 0.000 0.500 B
0.500 0.000 0.246 N
0.246 0.500 0.000 N
0.000 0.754 0.500 N
0.000 0.246 0.500 N
0.500 0.000 0.754 N
0.754 0.500 0.000 N
0.500 0.500 0.500 Ag
```

Results
SG ... No. 200
Magnetization ... 0.00 μB per atom
Volume ... 7.484 Å³ per atom
ΔE_f (raw) ... -0.312 eV/atom
E ... -96.93 eV for the cell shown

---

[7]
An optimized crystal structure of Np2In8Co. Source: Alexandria via LeMat-Bulk, functional PBE.

The structure in POSCAR format:
```
Np2In8Co
1.0
4.610 0.000 0.000
0.000 4.610 0.000
0.000 0.000 12.174
Np In Co
2 8 1
direct
0.000 0.000 0.306 Np
0.000 0.000 0.694 Np
0.500 0.000 0.500 In
0.000 0.500 0.119 In
0.000 0.500 0.881 In
0.500 0.500 0.692 In
0.500 0.500 0.308 In
0.500 0.000 0.119 In
0.500 0.000 0.881 In
0.000 0.500 0.500 In
0.000 0.000 0.000 Co
```

Results
SG ... No. 123
Magnetization ... 0.78 μB per atom
Volume ... 23.518 Å³ per atom
E ... -55.06 eV for the cell shown

---

[8]
An optimized crystal structure of HfSiP2Cl. Source: Alexandria via LeMat-Bulk, functional PBE.

The structure in POSCAR format:
```
HfSiP2Cl
1.0
-3.544 -2.448 1.463
2.794 -3.447 0.999
0.603 1.771 4.425
Cl P Si Hf
1 2 1 1
direct
0.000 0.000 0.000 Cl
0.500 0.000 0.000 P
0.000 0.500 0.000 P
0.500 0.500 0.500 Si
0.000 0.000 0.500 Hf
```

Results
SG ... No. 123
Magnetization ... 0.00 μB per atom
Volume ... 19.877 Å³ per atom
Offset from the most stable computed form ... 906 meV/atom
ΔE_f (raw) ... 1.131 eV/atom
E ... -22.39 eV for the cell shown

---

[9]
An optimized crystal structure of Zn6BiO6. Source: Alexandria via LeMat-Bulk, functional PBE.

The structure in POSCAR format:
```
Zn6BiO6
1.0
5.778 0.000 0.000
0.000 5.778 0.000
0.000 0.000 5.778
O Zn Bi
6 6 1
direct
0.000 0.500 0.748 O
0.500 0.748 0.000 O
0.000 0.500 0.252 O
0.500 0.252 0.000 O
0.252 0.000 0.500 O
0.748 0.000 0.500 O
0.251 0.500 0.000 Zn
0.749 0.500 0.000 Zn
0.000 0.251 0.500 Zn
0.500 0.000 0.251 Zn
0.000 0.749 0.500 Zn
0.500 0.000 0.749 Zn
0.000 0.000 0.000 Bi
```

Results
SG ... No. 200
Magnetization ... 0.00 μB per atom
Volume ... 14.835 Å³ per atom
ΔE_f (raw) ... -1.035 eV/atom
E ... -54.73 eV for the cell shown

---

[10]
An optimized crystal structure of LaAlTl2Si. Source: Alexandria via LeMat-Bulk, functional PBE.

The structure in POSCAR format:
```
LaAlTl2Si
1.0
6.208 0.000 0.000
0.000 5.504 0.000
0.000 0.000 6.208
Al Tl Si La
1 2 1 1
direct
0.500 0.500 0.500 Al
0.000 0.000 0.500 Tl
0.500 0.000 0.000 Tl
0.000 0.500 0.000 Si
0.000 0.000 0.000 La
```

Results
SG ... No. 123
Magnetization ... 0.00 μB per atom
Volume ... 42.425 Å³ per atom
ΔE_f (raw) ... 0.921 eV/atom
E ... -14.22 eV for the cell shown

---

[11]
An optimized crystal structure of Pm3NdSmTh. Source: Alexandria via LeMat-Bulk, functional PBE.

The structure in POSCAR format:
```
Pm3NdSmTh
1.0
-4.397 -1.564 2.168
0.652 -7.150 -3.835
4.631 0.678 9.882
Nd Th Pm Sm
2 2 6 2
direct
0.750 0.882 0.705 Nd
0.250 0.118 0.295 Nd
0.750 0.879 0.379 Th
0.250 0.121 0.621 Th
0.250 0.127 0.956 Pm
0.250 0.620 0.791 Pm
0.750 0.873 0.044 Pm
0.750 0.380 0.209 Pm
0.750 0.366 0.544 Pm
0.250 0.634 0.456 Pm
0.750 0.371 0.871 Sm
0.250 0.629 0.129 Sm
```

Results
SG ... No. 11
Magnetization ... 0.00 μB per atom
Volume ... 34.154 Å³ per atom
E ... -61.93 eV for the cell shown

---

[12]
An optimized crystal structure of NaBe3Bi. Source: Alexandria via LeMat-Bulk, functional PBE.

The structure in POSCAR format:
```
NaBe3Bi
1.0
5.037 0.000 0.000
0.000 5.037 0.000
0.000 0.000 5.037
Bi Be Na
1 3 1
direct
0.000 0.000 0.000 Bi
0.000 0.000 0.500 Be
0.000 0.500 0.000 Be
0.500 0.000 0.000 Be
0.500 0.500 0.500 Na
```

Results
SG ... No. 221
Magnetization ... 0.00 μB per atom
Volume ... 25.563 Å³ per atom
Offset from the most stable computed form ... 0 meV/atom
E ... -9.91 eV for the cell shown

---

[13]
An optimized crystal structure of LaIn4Ir. Source: Alexandria via LeMat-Bulk, functional PBE.

The structure in POSCAR format:
```
LaIn4Ir
1.0
0.000 4.201 4.201
4.201 0.000 4.201
4.201 4.201 0.000
Ir In La
1 4 1
direct
0.750 0.750 0.750 Ir
0.874 0.375 0.375 In
0.375 0.375 0.375 In
0.375 0.874 0.375 In
0.375 0.375 0.874 In
0.000 0.000 0.000 La
```

Results
SG ... No. 216
Magnetization ... 0.00 μB per atom
Volume ... 24.709 Å³ per atom
E ... -23.54 eV for the cell shown

---

[14]
An optimized crystal structure of HoZr2Zn4. Source: Alexandria via LeMat-Bulk, functional PBE.

The structure in POSCAR format:
```
HoZr2Zn4
1.0
4.145 0.000 -1.321
-0.421 4.124 -1.321
0.412 0.456 8.454
Zn Zr Ho
4 2 1
direct
0.872 0.372 0.744 Zn
0.372 0.872 0.744 Zn
0.128 0.628 0.256 Zn
0.628 0.128 0.256 Zn
0.746 0.746 0.492 Zr
0.254 0.254 0.508 Zr
0.000 0.000 0.000 Ho
```

Results
SG ... No. 139
Magnetization ... 0.00 μB per atom
Volume ... 21.356 Å³ per atom
E ... -27.19 eV for the cell shown

---

[15]
An optimized crystal structure of La2IrAu. Source: Alexandria via LeMat-Bulk, functional PBE.

The structure in POSCAR format:
```
La2IrAu
1.0
7.800 0.000 0.000
0.000 7.800 0.000
3.900 3.900 3.749
La Ir Au
4 2 2
direct
0.375 0.405 0.750 La
0.875 0.845 0.750 La
0.155 0.625 0.250 La
0.595 0.125 0.250 La
0.500 0.500 0.000 Ir
0.250 0.750 0.500 Ir
0.750 0.250 0.500 Au
0.000 0.000 0.000 Au
```

Results
SG ... No. 122
Magnetization ... 0.00 μB per atom
Volume ... 28.511 Å³ per atom
E ... -47.62 eV for the cell shown

---

[16]
An optimized crystal structure of Ac2Zn4CuIr3. Source: Alexandria via LeMat-Bulk, functional PBE.

The structure in POSCAR format:
```
Ac2Zn4CuIr3
1.0
4.252 0.000 0.000
0.000 4.252 0.000
0.000 0.000 10.927
Ac Cu Ir Zn
2 1 3 4
direct
0.500 0.000 0.249 Ac
0.000 0.500 0.751 Ac
0.500 0.500 0.500 Cu
0.500 0.000 0.860 Ir
0.000 0.000 0.500 Ir
0.000 0.500 0.140 Ir
0.000 0.000 0.000 Zn
0.000 0.500 0.375 Zn
0.500 0.500 0.000 Zn
0.500 0.000 0.625 Zn
```

Results
SG ... No. 115
Magnetization ... 0.00 μB per atom
Volume ... 19.758 Å³ per atom
E ... -47.80 eV for the cell shown

---

[17]
An optimized crystal structure of TlMo2Pt. Source: Alexandria via LeMat-Bulk, functional PBE.

The structure in POSCAR format:
```
TlMo2Pt
1.0
5.000 0.001 0.000
4.211 2.696 0.000
0.591 0.173 5.146
Mo Pt Tl
2 1 1
direct
0.001 0.001 0.972 Mo
0.761 0.761 0.764 Mo
0.492 0.492 0.502 Pt
0.245 0.245 0.262 Tl
```

Results
SG ... No. 8
Magnetization ... 0.00 μB per atom
Volume ... 17.337 Å³ per atom
Offset from the most stable computed form ... 89 meV/atom
E ... -28.66 eV for the cell shown

---

[18]
An optimized crystal structure of Ba2PuHfS6. Source: Alexandria via LeMat-Bulk, functional PBE.

The structure in POSCAR format:
```
Ba2PuHfS6
1.0
-6.671 -2.125 -1.821
-1.540 -1.147 6.978
-3.306 9.644 0.856
S Ba Pu Hf
12 4 2 2
direct
0.255 0.005 0.500 S
0.000 0.750 0.245 S
0.500 0.250 0.255 S
0.745 0.005 0.500 S
0.245 0.505 0.000 S
0.755 0.995 0.000 S
0.500 0.250 0.745 S
0.255 0.495 0.500 S
0.745 0.495 0.500 S
0.755 0.505 0.000 S
0.245 0.995 0.000 S
0.000 0.750 0.755 S
0.500 0.750 0.750 Ba
0.000 0.250 0.250 Ba
0.500 0.750 0.250 Ba
0.000 0.250 0.750 Ba
0.500 0.250 0.000 Pu
0.000 0.750 0.500 Pu
0.000 0.750 0.000 Hf
0.500 0.250 0.500 Hf
```

Results
SG ... No. 225
Magnetization ... 0.40 μB per atom
Volume ... 26.783 Å³ per atom
ΔE_f (raw) ... -1.730 eV/atom
E ... -140.39 eV for the cell shown

---

[19]
An optimized crystal structure of AlTl2SnS5. Source: Alexandria via LeMat-Bulk, functional PBE.

The structure in POSCAR format:
```
AlTl2SnS5
1.0
-2.231 -1.208 -2.641
1.485 -8.086 4.982
-10.214 2.685 7.402
Sn S Tl Al
2 10 4 2
direct
0.451 0.903 0.437 Sn
0.549 0.097 0.937 Sn
0.516 0.033 0.280 S
0.030 0.059 0.057 S
0.331 0.662 0.986 S
0.484 0.967 0.780 S
0.677 0.353 0.902 S
0.323 0.647 0.402 S
0.970 0.941 0.557 S
0.669 0.338 0.486 S
0.296 0.591 0.649 S
0.704 0.409 0.149 S
0.862 0.724 0.816 Tl
0.138 0.276 0.316 Tl
0.131 0.261 0.669 Tl
0.869 0.739 0.169 Tl
0.787 0.573 0.527 Al
0.213 0.427 0.027 Al
```

Results
SG ... No. 36
Magnetization ... 0.00 μB per atom
Volume ... 24.762 Å³ per atom
ΔE_f (raw) ... -0.457 eV/atom
E ... -74.46 eV for the cell shown

---

[20]
An optimized crystal structure of ZrOs. Source: Alexandria via LeMat-Bulk, functional PBE.

The structure in POSCAR format:
```
ZrOs
1.0
5.030 -0.010 -0.007
2.957 4.069 -0.007
2.957 1.503 3.781
Os Zr
2 2
direct
0.679 0.679 0.679 Os
0.321 0.321 0.321 Os
0.111 0.111 0.111 Zr
0.889 0.889 0.889 Zr
```

Results
SG ... No. 166
Magnetization ... 0.00 μB per atom
Volume ... 19.403 Å³ per atom
E ... -39.58 eV for the cell shown

---

[21]
An optimized crystal structure of Rb3Pu3HfSe8. Source: Alexandria via LeMat-Bulk, functional PBE.

The structure in POSCAR format:
```
Rb3Pu3HfSe8
1.0
8.381 0.000 0.000
-4.190 7.257 -0.029
0.000 -4.806 8.150
Se Rb Hf Pu
8 3 1 3
direct
0.218 0.968 0.686 Se
0.218 0.437 0.686 Se
0.782 0.563 0.314 Se
0.732 0.464 0.695 Se
0.250 0.032 0.314 Se
0.750 0.968 0.686 Se
0.782 0.032 0.314 Se
0.268 0.536 0.305 Se
0.000 0.500 0.000 Rb
0.000 0.000 0.000 Rb
0.500 0.500 0.000 Rb
0.000 0.000 0.500 Hf
0.500 0.500 0.500 Pu
0.000 0.500 0.500 Pu
0.500 0.000 0.500 Pu
```

Results
SG ... No. 166
Magnetization ... 1.00 μB per atom
Volume ... 32.966 Å³ per atom
ΔE_f (raw) ... -1.438 eV/atom
E ... -105.30 eV for the cell shown

---

[22]
An optimized crystal structure of Er2GePb. Source: Alexandria via LeMat-Bulk, functional PBE.

The structure in POSCAR format:
```
Er2GePb
1.0
4.195 0.000 0.000
0.000 4.888 0.000
0.000 0.000 4.888
Pb Er Ge
1 2 1
direct
0.500 0.000 0.000 Pb
0.000 0.500 0.000 Er
0.000 0.000 0.500 Er
0.500 0.500 0.500 Ge
```

Results
SG ... No. 123
Magnetization ... 0.00 μB per atom
Volume ... 25.059 Å³ per atom
E ... -19.25 eV for the cell shown

---

[23]
An optimized crystal structure of TmPu2Zr. Source: Alexandria via LeMat-Bulk, functional PBE.

The structure in POSCAR format:
```
TmPu2Zr
1.0
-0.460 -1.711 2.763
3.030 -1.233 -0.260
3.453 7.399 5.157
Tm Pu Zr
1 2 1
direct
0.500 0.500 0.500 Tm
0.000 0.000 0.236 Pu
0.000 0.000 0.764 Pu
0.500 0.500 0.000 Zr
```

Results
SG ... No. 123
Magnetization ... 2.94 μB per atom
Volume ... 26.005 Å³ per atom
Offset from the most stable computed form ... 0 meV/atom
E ... -41.09 eV for the cell shown